1.
An optimized crystal structure of Zr4In2CO. Source: OQMD via LeMat-Bulk, functional PBE.

Cell lengths 3.3377, 3.3377, 14.9661 Å; angles 90.00, 90.00, 120.00 degrees
Fractional coordinates of all 8 atoms:
1 Zr 0.3333 0.6667 0.0838
2 Zr 0.3333 0.6667 0.4145
3 Zr 0.6667 0.3333 0.5855
4 Zr 0.6667 0.3333 0.9162
5 In 0.3333 0.6667 0.7480
6 In 0.6667 0.3333 0.2520
7 C 0.0000 0.0000 0.0000
8 O 0.0000 0.0000 0.5000

Values from the calculation:
- Crystal system: trigonal
- Magnetic moment: 0.01 μB per formula unit
- SG: P-3m1, No. 164

=====

2.
An optimized crystal structure of Pr2GePd. Source: OQMD via LeMat-Bulk, functional PBE.

Cell lengths 4.4435, 6.0155, 6.0155 Å; angles 40.12, 90.00, 90.00 degrees
Fractional coordinates of all 4 atoms:
1 Pr 0.0000 0.0000 0.0000
2 Pr 0.5000 0.2749 0.2749
3 Ge 0.0000 0.7181 0.7181
4 Pd 0.5000 0.5587 0.5587

Values from the calculation:
- Crystal system: orthorhombic
- Magnetic moment: 0.01 μB per formula unit
- SG: Amm2, No. 38

=====

3.
An optimized crystal structure of TmSnIr. Source: OQMD via LeMat-Bulk, functional PBE.

Cell lengths 7.4901, 7.4901, 3.8543 Å; angles 90.00, 90.00, 120.00 degrees
Fractional coordinates of all 9 atoms:
1 Tm 0.0000 0.5949 0.0000
2 Tm 0.4051 0.4051 0.0000
3 Tm 0.5949 0.0000 0.0000
4 Sn 0.0000 0.2627 0.5000
5 Sn 0.2627 0.0000 0.5000
6 Sn 0.7373 0.7373 0.5000
7 Ir 0.0000 0.0000 0.0000
8 Ir 0.3333 0.6667 0.5000
9 Ir 0.6667 0.3333 0.5000

Values from the calculation:
- Crystal system: hexagonal
- Magnetic moment: 0.00 μB per formula unit
- SG: P-62m, No. 189

=====

4.
An optimized crystal structure of HfZnCuMo. Source: OQMD via LeMat-Bulk, functional PBE.

Cell lengths 4.4982, 4.4982, 4.4982 Å; angles 60.00, 60.00, 60.00 degrees
Fractional coordinates of all 4 atoms:
1 Hf 0.0000 0.0000 0.0000
2 Zn 0.5000 0.5000 0.5000
3 Cu 0.7500 0.7500 0.7500
4 Mo 0.2500 0.2500 0.2500

Values from the calculation:
- Crystal system: cubic
- E_form: 273 meV/atom
- Magnetic moment: 0.93 μB per formula unit
- SG: F-43m, No. 216

=====

5.
An optimized crystal structure of DyHoSn2Pd4. Source: OQMD via LeMat-Bulk, functional PBE.

Cell lengths 4.5724, 4.5724, 8.9579 Å; angles 90.00, 90.00, 120.00 degrees
Fractional coordinates of all 8 atoms:
1 Dy 0.0000 0.0000 0.0000
2 Ho 0.3333 0.6667 0.5000
3 Sn 0.6667 0.3333 0.2507
4 Sn 0.6667 0.3333 0.7493
5 Pd 0.0000 0.0000 0.3368
6 Pd 0.0000 0.0000 0.6632
7 Pd 0.3333 0.6667 0.1642
8 Pd 0.3333 0.6667 0.8358

Values from the calculation:
- Crystal system: hexagonal
- Magnetic moment: 0.01 μB per formula unit
- SG: P-6m2, No. 187

=====

6.
An optimized crystal structure of LaNd2Mg3CuPd2. Source: OQMD via LeMat-Bulk, functional PBE.

Cell lengths 4.1468, 7.6531, 7.6531 Å; angles 119.60, 90.00, 90.00 degrees
Fractional coordinates of all 9 atoms:
1 La 0.0000 0.0000 0.0000
2 Nd 0.0000 0.1717 0.5839
3 Nd 0.0000 0.5839 0.1717
4 Mg 0.5000 0.3488 0.3488
5 Mg 0.5000 0.5812 0.8230
6 Mg 0.5000 0.8230 0.5812
7 Cu 0.0000 0.5824 0.5824
8 Pd 0.5000 0.2497 0.9173
9 Pd 0.5000 0.9173 0.2497

Values from the calculation:
- Crystal system: orthorhombic
- Magnetic moment: 0.01 μB per formula unit
- SG: Amm2, No. 38

=====

7.
An optimized crystal structure of Re2Hg4O11. Source: OQMD via LeMat-Bulk, functional PBE.

Cell lengths 7.0571, 12.4326, 13.6988 Å; angles 90.00, 119.24, 90.00 degrees
Fractional coordinates of all 68 atoms:
1 Re 0.0606 0.1837 0.0156
2 Re 0.0606 0.3163 0.5156
3 Re 0.4019 0.1450 0.4018
4 Re 0.4019 0.3550 0.9018
5 Re 0.5981 0.6450 0.0982
6 Re 0.5981 0.8550 0.5982
7 Re 0.9394 0.6837 0.4844
8 Re 0.9394 0.8163 0.9844
9 Hg 0.0000 0.0000 0.5000
10 Hg 0.0000 0.5000 0.0000
11 Hg 0.0405 0.6143 0.7706
12 Hg 0.0405 0.8857 0.2706
13 Hg 0.2842 0.6670 0.2750
14 Hg 0.2842 0.8330 0.7750
15 Hg 0.4543 0.1041 0.7351
16 Hg 0.4543 0.3959 0.2351
17 Hg 0.5000 0.0000 0.0000
18 Hg 0.5000 0.5000 0.5000
19 Hg 0.5457 0.6041 0.7649
20 Hg 0.5457 0.8959 0.2649
21 Hg 0.7158 0.1670 0.2250
22 Hg 0.7158 0.3330 0.7250
23 Hg 0.9595 0.1143 0.7294
24 Hg 0.9595 0.3857 0.2294
25 O 0.0853 0.2030 0.4440
26 O 0.0853 0.2970 0.9440
27 O 0.0907 0.0670 0.9519
28 O 0.0907 0.4330 0.4519
29 O 0.1018 0.1118 0.6263
30 O 0.1018 0.3882 0.1263
31 O 0.1658 0.0713 0.3154
32 O 0.1658 0.4287 0.8154
33 O 0.1794 0.6826 0.4754
34 O 0.1794 0.8174 0.9754
35 O 0.2388 0.6776 0.7073
36 O 0.2388 0.8224 0.2073
37 O 0.2859 0.1809 0.1514
38 O 0.2859 0.3191 0.6514
39 O 0.3263 0.5107 0.3291
40 O 0.3263 0.9893 0.8291
41 O 0.3618 0.2170 0.8698
42 O 0.3618 0.2830 0.3698
43 O 0.3947 0.5973 0.1265
44 O 0.3947 0.9027 0.6265
45 O 0.4972 0.6203 0.9548
46 O 0.4972 0.8797 0.4548
47 O 0.5028 0.1203 0.5452
48 O 0.5028 0.3797 0.0452
49 O 0.6053 0.0973 0.3735
50 O 0.6053 0.4027 0.8735
51 O 0.6382 0.7170 0.6302
52 O 0.6382 0.7830 0.1302
53 O 0.6736 0.0107 0.1709
54 O 0.6736 0.4893 0.6709
55 O 0.7141 0.6809 0.3486
56 O 0.7141 0.8191 0.8486
57 O 0.7612 0.1776 0.7927
58 O 0.7612 0.3224 0.2927
59 O 0.8206 0.1826 0.0246
60 O 0.8206 0.3174 0.5246
61 O 0.8342 0.5713 0.1846
62 O 0.8342 0.9287 0.6846
63 O 0.8982 0.6118 0.8737
64 O 0.8982 0.8882 0.3737
65 O 0.9093 0.5671 0.5481
66 O 0.9093 0.9330 0.0481
67 O 0.9147 0.7030 0.0560
68 O 0.9147 0.7970 0.5560

Values from the calculation:
- Crystal system: monoclinic
- Magnetic moment: 0.00 μB per formula unit
- SG: P2_1/c, No. 14

=====

8.
An optimized crystal structure of TbTmS2I2. Source: OQMD via LeMat-Bulk, functional PBE.

Cell lengths 4.1606, 5.3366, 9.5406 Å; angles 90.00, 90.00, 90.00 degrees
Fractional coordinates of all 6 atoms:
1 Tb 0.0000 0.0000 0.0000
2 Tm 0.5000 0.5000 0.2359
3 S 0.0000 0.5000 0.0545
4 S 0.5000 0.0000 0.1885
5 I 0.0000 0.5000 0.4649
6 I 0.5000 0.0000 0.7648

Values from the calculation:
- Crystal system: orthorhombic
- Magnetic moment: 0.00 μB per formula unit
- SG: Pmm2, No. 25

=====

9.
An optimized crystal structure of FeNiHgPb. Source: OQMD via LeMat-Bulk, functional PBE.

Cell lengths 4.7223, 4.7223, 4.7223 Å; angles 60.00, 60.00, 60.00 degrees
Fractional coordinates of all 4 atoms:
1 Fe 0.0000 0.0000 0.0000
2 Ni 0.7500 0.7500 0.7500
3 Hg 0.2500 0.2500 0.2500
4 Pb 0.5000 0.5000 0.5000

Values from the calculation:
- Crystal system: cubic
- Magnetic moment: 3.17 μB per formula unit
- SG: F-43m, No. 216

=====

10.
An optimized crystal structure of In3IrBr. Source: OQMD via LeMat-Bulk, functional PBE.

Cell lengths 5.2177, 5.2177, 5.2177 Å; angles 90.00, 90.00, 90.00 degrees
Fractional coordinates of all 5 atoms:
1 In 0.0000 0.0000 0.5000
2 In 0.0000 0.5000 0.0000
3 In 0.5000 0.0000 0.0000
4 Ir 0.0000 0.0000 0.0000
5 Br 0.5000 0.5000 0.5000

Values from the calculation:
- Crystal system: cubic
- Magnetic moment: 0.01 μB per formula unit
- SG: Pm-3m, No. 221

=====

11.
An optimized crystal structure of InGaMo4N2. Source: OQMD via LeMat-Bulk, functional PBE.

Cell lengths 2.9774, 2.9774, 14.2840 Å; angles 90.00, 90.00, 120.00 degrees
Fractional coordinates of all 8 atoms:
1 In 0.0000 0.0000 0.0000
2 Ga 0.6667 0.3333 0.5000
3 Mo 0.0000 0.0000 0.3481
4 Mo 0.0000 0.0000 0.6519
5 Mo 0.6667 0.3333 0.1689
6 Mo 0.6667 0.3333 0.8311
7 N 0.3333 0.6667 0.2581
8 N 0.3333 0.6667 0.7419

Values from the calculation:
- Crystal system: hexagonal
- Magnetic moment: 0.01 μB per formula unit
- SG: P-6m2, No. 187

=====

12.
An optimized crystal structure of CsTmHgTe3. Source: OQMD via LeMat-Bulk, functional PBE.

Cell lengths 9.6260, 4.5115, 11.5078 Å; angles 90.00, 111.68, 90.00 degrees
Fractional coordinates of all 12 atoms:
1 Cs 0.2454 0.2500 0.2804
2 Cs 0.7546 0.7500 0.7196
3 Tm 0.3244 0.7500 0.8651
4 Tm 0.6756 0.2500 0.1349
5 Hg 0.0789 0.2500 0.6183
6 Hg 0.9211 0.7500 0.3817
7 Te 0.1036 0.2500 0.8687
8 Te 0.2407 0.7500 0.5663
9 Te 0.4647 0.7500 0.1445
10 Te 0.5353 0.2500 0.8555
11 Te 0.7593 0.2500 0.4337
12 Te 0.8964 0.7500 0.1313

Values from the calculation:
- Crystal system: monoclinic
- Magnetic moment: 0.00 μB per formula unit
- SG: P2_1/m, No. 11

=====

13.
An optimized crystal structure of Ho2ErMg. Source: OQMD via LeMat-Bulk, functional PBE.

Cell lengths 5.5477, 6.9479, 6.9479 Å; angles 60.91, 90.00, 90.00 degrees
Fractional coordinates of all 8 atoms:
1 Ho 0.0000 0.0000 0.0000
2 Ho 0.0000 0.9999 0.5001
3 Ho 0.0000 0.5001 0.9999
4 Ho 0.5000 0.6718 0.6718
5 Er 0.0000 0.5002 0.5002
6 Er 0.5000 0.1726 0.1726
7 Mg 0.5000 0.1678 0.6679
8 Mg 0.5000 0.6679 0.1678

Values from the calculation:
- Crystal system: orthorhombic
- Magnetic moment: 0.17 μB per formula unit
- SG: Amm2, No. 38

=====

14.
An optimized crystal structure of Lu2Co12P7. Source: OQMD via LeMat-Bulk, functional PBE.

Cell lengths 8.9519, 8.9519, 3.5487 Å; angles 90.00, 90.00, 120.00 degrees
Fractional coordinates of all 21 atoms:
1 Lu 0.0000 0.0000 0.0000
2 Lu 0.3333 0.6667 0.5000
3 Co 0.0497 0.7700 0.5000
4 Co 0.1023 0.3942 0.0000
5 Co 0.2300 0.2797 0.5000
6 Co 0.2919 0.8977 0.0000
7 Co 0.3926 0.2145 0.0000
8 Co 0.5344 0.0992 0.5000
9 Co 0.5648 0.4656 0.5000
10 Co 0.6058 0.7081 0.0000
11 Co 0.7203 0.9503 0.5000
12 Co 0.7855 0.1780 0.0000
13 Co 0.8220 0.6074 0.0000
14 Co 0.9008 0.4352 0.5000
15 P 0.0747 0.6263 0.0000
16 P 0.2620 0.0425 0.5000
17 P 0.3737 0.4484 0.0000
18 P 0.5516 0.9253 0.0000
19 P 0.6667 0.3333 0.0000
20 P 0.7805 0.7380 0.5000
21 P 0.9575 0.2195 0.5000

Values from the calculation:
- Crystal system: hexagonal
- Magnetic moment: 4.89 μB per formula unit
- SG: P-6, No. 174

=====

15.
An optimized crystal structure of NaCo3P5. Source: OQMD via LeMat-Bulk, functional PBE.

Cell lengths 4.8052, 4.8052, 7.3822 Å; angles 90.00, 90.00, 120.00 degrees
Fractional coordinates of all 9 atoms:
1 Na 0.0000 0.0000 0.0000
2 Co 0.0000 0.5000 0.5000
3 Co 0.5000 0.0000 0.5000
4 Co 0.5000 0.5000 0.5000
5 P 0.0000 0.0000 0.5000
6 P 0.3333 0.6667 0.2537
7 P 0.3333 0.6667 0.7463
8 P 0.6667 0.3333 0.2537
9 P 0.6667 0.3333 0.7463

Values from the calculation:
- Crystal system: hexagonal
- Magnetic moment: 0.93 μB per formula unit
- SG: P6/mmm, No. 191

=====

16.
An optimized crystal structure of GdReTc. Source: OQMD via LeMat-Bulk, functional PBE.

Cell lengths 4.4860, 4.4860, 4.4860 Å; angles 60.00, 60.00, 60.00 degrees
Fractional coordinates of all 3 atoms:
1 Gd 0.0000 0.0000 0.0000
2 Re 0.7500 0.7500 0.7500
3 Tc 0.2500 0.2500 0.2500

Values from the calculation:
- Crystal system: cubic
- E_form: 1804 meV/atom
- Magnetic moment: 1.54 μB per formula unit
- SG: F-43m, No. 216

=====

17.
An optimized crystal structure of DyHfU. Source: OQMD via LeMat-Bulk, functional PBE.

Cell lengths 4.9981, 4.9981, 4.9981 Å; angles 60.00, 60.00, 60.00 degrees
Fractional coordinates of all 3 atoms:
1 Dy 0.0000 0.0000 0.0000
2 Hf 0.2500 0.2500 0.2500
3 U 0.5000 0.5000 0.5000

Values from the calculation:
- Crystal system: cubic
- E_form: 1168 meV/atom
- Magnetic moment: 2.52 μB per formula unit
- SG: F-43m, No. 216

=====

18.
An optimized crystal structure of TbPdO2. Source: OQMD via LeMat-Bulk, functional PBE.

Cell lengths 2.9818, 2.9818, 6.3064 Å; angles 90.00, 90.00, 90.00 degrees
Fractional coordinates of all 4 atoms:
1 Tb 0.0000 0.0000 0.0000
2 Pd 0.5000 0.5000 0.5000
3 O 0.5000 0.5000 0.1811
4 O 0.5000 0.5000 0.8189

Values from the calculation:
- Crystal system: tetragonal
- Magnetic moment: 0.00 μB per formula unit
- SG: P4/mmm, No. 123

=====

19.
An optimized crystal structure of CsCoB4. Source: OQMD via LeMat-Bulk, functional PBE.

Cell lengths 3.1232, 3.1232, 8.2877 Å; angles 90.00, 90.00, 120.00 degrees
Fractional coordinates of all 6 atoms:
1 Cs 0.0000 0.0000 0.0000
2 Co 0.0000 0.0000 0.5000
3 B 0.3333 0.6667 0.3399
4 B 0.3333 0.6667 0.6601
5 B 0.6667 0.3333 0.3399
6 B 0.6667 0.3333 0.6601

Values from the calculation:
- Crystal system: hexagonal
- Magnetic moment: 0.01 μB per formula unit
- SG: P6/mmm, No. 191

=====

20.
An optimized crystal structure of CsGdNiSe3. Source: OQMD via LeMat-Bulk, functional PBE.

Cell lengths 10.9405, 4.1469, 15.8407 Å; angles 90.00, 90.00, 90.00 degrees
Fractional coordinates of all 24 atoms:
1 Cs 0.2420 0.2500 0.0083
2 Cs 0.2580 0.7500 0.5083
3 Cs 0.7420 0.2500 0.4917
4 Cs 0.7580 0.7500 0.9917
5 Gd 0.0108 0.7500 0.2505
6 Gd 0.4892 0.2500 0.7505
7 Gd 0.5108 0.7500 0.2495
8 Gd 0.9892 0.2500 0.7495
9 Ni 0.2397 0.7500 0.7814
10 Ni 0.2603 0.2500 0.2814
11 Ni 0.7397 0.7500 0.7186
12 Ni 0.7603 0.2500 0.2186
13 Se 0.0593 0.7500 0.8671
14 Se 0.0795 0.2500 0.3675
15 Se 0.2394 0.2500 0.6987
16 Se 0.2606 0.7500 0.1987
17 Se 0.4205 0.7500 0.8675
18 Se 0.4407 0.2500 0.3671
19 Se 0.5593 0.7500 0.6329
20 Se 0.5795 0.2500 0.1325
21 Se 0.7394 0.2500 0.8013
22 Se 0.7606 0.7500 0.3013
23 Se 0.9205 0.7500 0.6325
24 Se 0.9407 0.2500 0.1329

Values from the calculation:
- Crystal system: orthorhombic
- Magnetic moment: 1.85 μB per formula unit
- SG: Pnma, No. 62

=====

no.,VASP energy (eV per atom)
1,-7.737
2,-5.636
3,-6.629
4,-6.173
5,-5.626
6,-4.196
7,-5.702
8,-5.213
9,-3.871
10,-4.127
11,-8.259
12,-3.460
13,-3.772
14,-7.104
15,-5.615
16,-7.342
17,-7.450
18,-6.850
19,-5.398
20,-4.775